PBE with a Hubbard U Li2MnInO4, relaxed; E = -5.957 eV/atom; spin magnetization = 4.0 μB per formula unit
1.0
-2.526 5.524 0.582
-4.032 -1.325 -4.384
0.453 -3.769 5.061
Li Mn In O
4 2 2 8
direct
0.500 0.000 0.000 Li
0.500 0.000 0.500 Li
0.000 0.000 0.500 Li
0.500 0.500 0.000 Li
0.500 0.500 0.500 Mn
0.000 0.000 0.000 Mn
0.000 0.500 0.000 In
0.000 0.500 0.500 In
0.229 0.762 0.986 O
0.738 0.271 0.514 O
0.262 0.729 0.486 O
0.771 0.238 0.014 O
0.780 0.783 0.019 O
0.717 0.720 0.481 O
0.283 0.280 0.519 O
0.220 0.217 0.981 O